Model one:
DFT (PBE-GGA) results for a relaxed Li2FeNi2 crystal.

abc: 6.6381 6.6381 2.5015
angles: 90.00 90.00 90.00
Fractional coordinates of all 10 atoms:
Li: 0.3333 0.1667 0.5000
Li: 0.8333 0.3333 0.5000
Li: 0.6667 0.8333 0.5000
Ni: 0.8669 0.6331 0.0000
Ni: 0.3669 0.8669 0.0000
Li: 0.1667 0.6667 0.5000
Fe: 0.0000 0.0000 0.0000
Ni: 0.6331 0.1331 0.0000
Ni: 0.1331 0.3669 0.0000
Fe: 0.5000 0.5000 0.0000

## Properties
- Fermi-level density of states (states/eV per cell) = 11.66
- space-group type = P4/mbm, No. 127

---

Model two:
DFT (PBE-GGA) results for a relaxed Li2FeNi2 crystal.

abc: 6.5283 6.5283 2.4885
angles: 90.00 90.00 90.00
Fractional coordinates of all 10 atoms:
Li: 0.8871 0.6129 0.0000
Ni: 0.1914 0.6914 0.5000
Fe: 0.5000 0.5000 0.0000
Ni: 0.3086 0.1914 0.5000
Fe: 0.0000 0.0000 0.0000
Ni: 0.8086 0.3086 0.5000
Li: 0.3871 0.8871 0.0000
Ni: 0.6914 0.8086 0.5000
Li: 0.6129 0.1129 0.0000
Li: 0.1129 0.3871 0.0000

## Properties
- Fermi-level density of states (states/eV per cell) = 12.51
- space-group type = P4/mbm, No. 127

---

Model three:
DFT (PBE-GGA) results for a relaxed Li2FeNi2 crystal.

abc: 3.0957 3.0957 6.7601
angles: 76.76 76.76 90.00
Each line ends with the local moment (μB).
Fractional coordinates of all 5 atoms:
Li: 0.2500 0.7500 0.5000  -0.04
Fe: 0.0000 0.0000 0.0000  2.95
Li: 0.7500 0.2500 0.5000  -0.04
Ni: 0.5940 0.5940 0.8121  0.45
Ni: 0.4060 0.4060 0.1879  0.45

## Properties
- Fermi-level density of states (states/eV per cell) = 2.71
- space-group type = I4/mmm, No. 139

---

The most stable of them is model three.

---

Model one:
DFT (PBE-GGA) results for a relaxed LiFe2Ni6 crystal.

abc: 2.4502 7.4484 6.7978
angles: 123.22 100.32 90.05
Each line ends with the local moment (μB).
Fractional coordinates of all 9 atoms:
Ni: 0.8245 0.6567 0.6500  0.56
Ni: 0.1755 0.3433 0.3500  0.56
Li: 0.0000 0.0000 0.0000  -0.03
Ni: 0.4999 0.6770 0.9999  0.55
Fe: 0.8406 0.3399 0.6798  2.65
Fe: 0.1594 0.6601 0.3202  2.65
Ni: 0.1754 0.0067 0.3500  0.56
Ni: 0.5001 0.3230 0.0001  0.55
Ni: 0.8246 0.9933 0.6500  0.56

## Properties
- Fermi-level density of states (states/eV per cell) = 9.22
- space-group type = Immm, No. 71

---

Model two:
DFT (PBE-GGA) results for a relaxed LiFe2Ni6 crystal.

abc: 6.0531 4.9215 4.3990
angles: 124.01 104.26 90.00
Each line ends with the local moment (μB).
Fractional coordinates of all 9 atoms:
Fe: 0.0859 0.6702 0.3404  2.78
Li: 0.0000 0.0000 0.0000  -0.05
Ni: 0.2929 0.2068 0.8912  0.63
Fe: 0.9141 0.3298 0.6596  2.78
Ni: 0.7071 0.3156 0.1088  0.63
Ni: 0.5130 0.7615 0.5229  0.65
Ni: 0.7071 0.7932 0.1088  0.63
Ni: 0.4870 0.2385 0.4771  0.65
Ni: 0.2929 0.6844 0.8912  0.63

## Properties
- Fermi-level density of states (states/eV per cell) = 9.85
- space-group type = C2/m, No. 12

---

The most stable of them is model one.

---

Model one:
DFT (PBE-GGA) results for a relaxed LiFeNi3 crystal.

abc: 4.3314 4.3314 4.3314
angles: 90.00 90.00 90.00
Each line ends with the local moment (μB).
Fractional coordinates of all 5 atoms:
Ni: 0.0000 0.0000 0.5000  1.04
Ni: 0.5000 0.0000 0.0000  0.51
Li: 0.5000 0.5000 0.5000  -0.01
Fe: 0.0000 0.0000 0.0000  2.56
Ni: 0.0000 0.5000 0.0000  0.82

## Properties
- Fermi-level density of states (states/eV per cell) = 3.52
- space-group type = Pm-3m, No. 221

---

Model two:
DFT (PBE-GGA) results for a relaxed LiFeNi3 crystal.

abc: 4.5133 3.9646 7.5150
angles: 90.00 90.00 116.19
Each line ends with the local moment (μB).
Fractional coordinates of all 10 atoms:
Ni: 0.4008 0.7002 0.5727  0.59
Fe: 0.0000 0.0000 0.0000  2.93
Ni: 0.6780 0.8396 0.2500  0.60
Ni: 0.5992 0.2998 0.4273  0.59
Li: 0.1173 0.5595 0.2500  -0.03
Ni: 0.3220 0.1604 0.7500  0.60
Ni: 0.4008 0.7002 0.9273  0.59
Ni: 0.5992 0.2998 0.0727  0.59
Fe: 0.0000 0.0000 0.5000  2.93
Li: 0.8827 0.4405 0.7500  -0.03

## Properties
- Fermi-level density of states (states/eV per cell) = 8.45
- space-group type = P2_1/m, No. 11

---

The most stable of them is model two.

---

Model one:
DFT (PBE-GGA) results for a relaxed LiFeNi4 crystal.

abc: 3.9797 4.6632 8.3336
angles: 73.32 90.00 115.26
Each line ends with the local moment (μB).
Fractional coordinates of all 12 atoms:
Ni: 0.7410 0.9820 0.0939  0.58
Fe: 0.0000 0.5000 0.5000  2.83
Ni: 0.0117 0.5233 0.1571  0.52
Li: 0.7500 0.0000 0.7500  -0.04
Ni: 0.9883 0.4767 0.8429  0.52
Ni: 0.4884 0.4767 0.3429  0.52
Ni: 0.7590 0.0180 0.4061  0.58
Fe: 0.5000 0.5000 0.0000  2.83
Ni: 0.5116 0.5233 0.6571  0.52
Ni: 0.2590 0.0180 0.9061  0.58
Li: 0.2500 0.0000 0.2500  -0.04
Ni: 0.2410 0.9820 0.5939  0.58

## Properties
- Fermi-level density of states (states/eV per cell) = 14.52
- space-group type = C2/m, No. 12

---

Model two:
DFT (PBE-GGA) results for a relaxed LiFeNi4 crystal.

abc: 3.6147 2.4668 7.4887
angles: 90.71 90.00 90.00
Each line ends with the local moment (μB).
Fractional coordinates of all 6 atoms:
Ni: 0.5000 0.4861 0.1698  0.45
Ni: 0.0000 0.9908 0.3323  0.54
Li: 0.0000 0.0000 0.0000  -0.02
Ni: 0.0000 0.0092 0.6677  0.54
Ni: 0.5000 0.5139 0.8302  0.45
Fe: 0.5000 0.5000 0.5000  2.70

## Properties
- Fermi-level density of states (states/eV per cell) = 8.48
- space-group type = P2/m, No. 10

---

Model three:
DFT (PBE-GGA) results for a relaxed LiFeNi4 crystal.

abc: 4.6737 4.6737 4.6737
angles: 60.00 60.00 60.00
Each line ends with the local moment (μB).
Fractional coordinates of all 6 atoms:
Ni: 0.6251 0.1246 0.6251  0.60
Fe: 0.2500 0.2500 0.2500  3.15
Ni: 0.6251 0.6251 0.1246  0.60
Ni: 0.6251 0.6251 0.6251  0.60
Ni: 0.1246 0.6251 0.6251  0.60
Li: 0.0000 0.0000 0.0000  -0.02

## Properties
- Fermi-level density of states (states/eV per cell) = 5.38
- space-group type = F-43m, No. 216

---

The most stable of them is model two.

---

Model one:
DFT (PBE-GGA) results for a relaxed LiFe2Ni2 crystal.

abc: 3.4923 3.4923 6.0905
angles: 73.34 73.34 90.00
Each line ends with the local moment (μB).
Fractional coordinates of all 5 atoms:
Li: 0.0000 0.0000 0.0000  -0.03
Ni: 0.2500 0.7500 0.5000  0.71
Fe: 0.6056 0.6056 0.7889  2.79
Fe: 0.3944 0.3944 0.2111  2.79
Ni: 0.7500 0.2500 0.5000  0.71

## Properties
- Fermi-level density of states (states/eV per cell) = 4.67
- space-group type = I4/mmm, No. 139

---

Model two:
DFT (PBE-GGA) results for a relaxed LiFe2Ni2 crystal.

abc: 7.0702 7.0702 2.5038
angles: 90.00 90.00 90.00
Each line ends with the local moment (μB).
Fractional coordinates of all 10 atoms:
Ni: 0.8685 0.6315 0.0000  0.66
Ni: 0.1315 0.3685 0.0000  0.66
Li: 0.5000 0.5000 0.0000  -0.04
Ni: 0.3685 0.8685 0.0000  0.66
Fe: 0.1626 0.6626 0.5000  2.69
Fe: 0.3374 0.1626 0.5000  2.70
Fe: 0.8374 0.3374 0.5000  2.69
Fe: 0.6626 0.8374 0.5000  2.70
Ni: 0.6315 0.1315 0.0000  0.66
Li: 0.0000 0.0000 0.0000  -0.04

## Properties
- Fermi-level density of states (states/eV per cell) = 6.09
- space-group type = P4/mbm, No. 127

---

The most stable of them is model two.